DFT (PBE) results for a relaxed structure of PuMg2Tl3Se6.

extended XYZ file:
```
12
Lattice="-4.598 4.676 -2.519 2.741 -4.865 -4.263 -5.125 -4.666 3.960" Properties=species:S:1:pos:R:3 pbc="T T T"
Se -0.234 -2.561 -1.079
Se -2.675 0.612 -0.499
Se -6.748 -2.294 -1.743
Se -2.393 -1.077 -4.178
Se -4.307 -5.467 -2.323
Se -4.589 -3.778 1.356
Tl -3.491 -2.427 -1.411
Tl -5.944 0.761 -0.828
Tl -1.038 -5.616 -1.994
Mg 0.294 -1.683 -3.681
Mg -2.151 1.494 -3.101
Pu 0.000 0.000 0.000
```

Results
energy = -4.65 eV/atom
E_form (uncorrected) = -10.29 eV/f.u.
Fermi-level density of states = 11.36 states/eV/f.u.
spin magnetization = 3.19 μB per formula unit